Here is a geometry-optimized PmAuS2 structure from the Alexandria database. Energies are from PBE.

a b c (Å): 4.2921 4.2921 22.0913
angles (deg): 90.00 90.00 120.00
Fractional coordinates of all 12 atoms:
Pm: 0.0000 0.0000 0.0000
Pm: 0.3333 0.6667 0.6667
Pm: 0.6667 0.3333 0.3333
Au: 0.0000 0.0000 0.5000
Au: 0.3333 0.6667 0.1667
Au: 0.6667 0.3333 0.8333
S: 0.0000 0.0000 0.3957
S: 0.0000 0.0000 0.6043
S: 0.3333 0.6667 0.0624
S: 0.3333 0.6667 0.2709
S: 0.6667 0.3333 0.7291
S: 0.6667 0.3333 0.9376

Computed properties:
Its crystal system is trigonal. The calculation puts the energy at -64.089 eV per cell. Its uncorrected formation energy is -1270 meV per atom.

=====

Here is a geometry-optimized CePrNd structure from the Alexandria database. Energies are from PBE.

a b c (Å): 19.6973 3.5188 5.9578
angles (deg): 90.00 107.51 90.00
Fractional coordinates of all 12 atoms:
Ce: 0.1956 0.0000 0.4453
Ce: 0.3044 0.5000 0.5547
Ce: 0.6956 0.5000 0.4453
Ce: 0.8044 0.0000 0.5547
Pr: 0.0318 0.0000 0.2811
Pr: 0.4682 0.5000 0.7189
Pr: 0.5318 0.5000 0.2811
Pr: 0.9682 0.0000 0.7189
Nd: 0.1482 0.5000 0.8983
Nd: 0.3518 0.0000 0.1017
Nd: 0.6482 0.0000 0.8983
Nd: 0.8518 0.5000 0.1017

Computed properties:
Its crystal system is monoclinic. The calculation puts the energy above the lowest structure with this stoichiometry at 119 meV per atom. The calculation puts the energy at -59.627 eV per cell. For the energy of formation from the pure elements, the calculation gives 0.192 eV per atom.

=====

Here is a geometry-optimized NdBeSn structure from the Alexandria database. Energies are from PBE.

a b c (Å): 4.2994 4.2994 14.7956
angles (deg): 90.00 90.00 90.00
Fractional coordinates of all 12 atoms:
Nd: 0.0000 0.0000 0.0000
Nd: 0.0000 0.5000 0.2500
Nd: 0.5000 0.0000 0.7500
Nd: 0.5000 0.5000 0.5000
Be: 0.0000 0.0000 0.5833
Be: 0.0000 0.5000 0.8333
Be: 0.5000 0.0000 0.3333
Be: 0.5000 0.5000 0.0833
Sn: 0.0000 0.0000 0.4169
Sn: 0.0000 0.5000 0.6669
Sn: 0.5000 0.0000 0.1669
Sn: 0.5000 0.5000 0.9169

Computed properties:
Its crystal system is tetragonal. The calculation puts the energy at -55.610 eV per cell. For the energy of formation from the pure elements, the calculation gives -0.469 eV per atom.

=====

Here is a geometry-optimized Zn3HgTe4 structure from the Alexandria database. Energies are from PBE.

a b c (Å): 8.8743 7.6824 7.3055
angles (deg): 90.00 90.00 90.00
Fractional coordinates of all 16 atoms:
Zn: 0.0000 0.1721 0.0000
Zn: 0.2495 0.6649 0.0018
Zn: 0.2505 0.3351 0.5018
Zn: 0.5000 0.8279 0.5000
Zn: 0.7495 0.3351 0.5018
Zn: 0.7505 0.6649 0.0018
Hg: 0.0000 0.8341 0.4977
Hg: 0.5000 0.1659 0.9977
Te: 0.0000 0.1849 0.6332
Te: 0.0000 0.8379 0.1056
Te: 0.2384 0.3407 0.1345
Te: 0.2616 0.6593 0.6345
Te: 0.5000 0.1621 0.6056
Te: 0.5000 0.8151 0.1332
Te: 0.7384 0.6593 0.6345
Te: 0.7616 0.3407 0.1345

Computed properties:
Its crystal system is orthorhombic. The calculation puts the energy at -39.476 eV per cell. Its uncorrected formation energy is -381 meV per atom.

=====

Number 1: mass density 5.7 Mg/m³. Number 2: mass density 7.2 Mg/m³. Number 3: mass density 6.6 Mg/m³. Number 4: mass density 6.0 Mg/m³.